Tb2Dy2HoSc | the Alexandria database | GGA-PBE | optimized geometry; formation energy = 277 meV per atom; density of states at the Fermi level = 17.236 states/eV/cell
1.0
3.312 0.000 0.000
0.000 6.510 0.000
0.000 0.000 17.286
Dy Tb Ho Sc
4 4 2 2
Direct
0.500 0.246 0.646 Dy
0.500 0.754 0.354 Dy
0.000 0.254 0.146 Dy
0.000 0.746 0.854 Dy
0.500 0.252 0.320 Tb
0.000 0.752 0.180 Tb
0.500 0.748 0.680 Tb
0.000 0.248 0.820 Tb
0.500 0.500 0.000 Ho
0.000 0.000 0.500 Ho
0.000 0.000 0.000 Sc
0.500 0.500 0.500 Sc


TbDy2HoSc4 | the Alexandria database | GGA-PBE | optimized geometry; formation energy = 51 meV per atom; density of states at the Fermi level = 13.762 states/eV/cell
1.0
4.889 0.000 0.000
0.000 4.798 0.881
0.000 3.114 10.044
Sc Ho Tb Dy
4 1 1 2
Direct
0.000 0.250 0.250 Sc
0.000 0.750 0.750 Sc
0.500 0.750 0.250 Sc
0.500 0.250 0.750 Sc
0.500 0.500 0.000 Ho
0.000 0.500 0.500 Tb
0.500 0.000 0.500 Dy
0.000 0.000 0.000 Dy


Tb6DyHoSc2 | the Alexandria database | GGA-PBE | optimized geometry; formation energy = 125 meV per atom; density of states at the Fermi level = 32.017 states/eV/cell
1.0
-2.915 -2.821 -8.445
7.885 -3.375 -0.970
-5.861 -4.723 4.225
Tb Sc Dy Ho
12 4 2 2
Direct
0.118 0.703 0.494 Tb
0.618 0.494 0.703 Tb
0.681 0.016 0.560 Tb
0.882 0.297 0.506 Tb
0.819 0.440 0.984 Tb
0.054 0.116 0.758 Tb
0.181 0.560 0.016 Tb
0.382 0.506 0.297 Tb
0.946 0.884 0.242 Tb
0.554 0.758 0.116 Tb
0.319 0.984 0.440 Tb
0.446 0.242 0.884 Tb
0.548 0.197 0.302 Sc
0.952 0.698 0.803 Sc
0.452 0.803 0.698 Sc
0.048 0.302 0.197 Sc
0.750 0.028 0.972 Dy
0.250 0.972 0.028 Dy
0.750 0.592 0.408 Ho
0.250 0.408 0.592 Ho


TbDy3Ho6Sc2 | the Alexandria database | GGA-PBE | optimized geometry; formation energy = 36 meV per atom; density of states at the Fermi level = 17.195 states/eV/cell
1.0
6.044 0.002 0.003
-3.019 5.236 0.003
-1.011 -1.750 11.370
Dy Ho Tb Sc
3 6 1 2
Direct
0.833 0.167 0.500 Dy
0.500 0.500 0.500 Dy
0.167 0.833 0.500 Dy
0.418 0.082 0.245 Ho
0.082 0.418 0.245 Ho
0.918 0.582 0.755 Ho
0.582 0.918 0.755 Ho
0.254 0.254 0.755 Ho
0.746 0.746 0.245 Ho
0.000 0.000 0.000 Tb
0.333 0.667 0.000 Sc
0.667 0.333 0.000 Sc


Tb2DyHo5Sc | the Alexandria database | GGA-PBE | optimized geometry; formation energy = 164 meV per atom; density of states at the Fermi level = 28.455 states/eV/cell
1.0
-2.363 1.235 4.824
-7.709 -2.643 -6.248
0.953 -9.834 2.985
Tb Ho Sc Dy
4 10 2 2
Direct
0.888 0.777 0.814 Tb
0.114 0.228 0.736 Tb
0.112 0.223 0.314 Tb
0.886 0.772 0.236 Tb
0.518 0.036 0.240 Ho
0.276 0.552 0.320 Ho
0.700 0.401 0.205 Ho
0.300 0.599 0.705 Ho
0.018 0.035 0.018 Ho
0.482 0.964 0.740 Ho
0.623 0.247 0.521 Ho
0.982 0.965 0.518 Ho
0.724 0.448 0.820 Ho
0.377 0.753 0.021 Ho
0.804 0.609 0.515 Sc
0.196 0.391 0.015 Sc
0.590 0.181 0.956 Dy
0.410 0.819 0.456 Dy


Tb3Dy6HoSc2 | the Alexandria database | GGA-PBE | optimized geometry; formation energy = 35 meV per atom; density of states at the Fermi level = 16.990 states/eV/cell
1.0
-2.363 5.587 -0.090
-1.403 -3.953 -4.383
-7.622 -4.198 7.624
Tb Sc Dy Ho
3 2 6 1
Direct
0.167 0.833 0.500 Tb
0.833 0.167 0.500 Tb
0.500 0.500 0.500 Tb
0.667 0.333 0.000 Sc
0.333 0.667 0.000 Sc
0.582 0.918 0.756 Dy
0.918 0.582 0.756 Dy
0.254 0.254 0.756 Dy
0.746 0.746 0.244 Dy
0.418 0.082 0.244 Dy
0.082 0.418 0.244 Dy
0.000 0.000 0.000 Ho


Tb3Dy2Ho6Sc | the Alexandria database | GGA-PBE | optimized geometry; formation energy = 26 meV per atom; density of states at the Fermi level = 16.341 states/eV/cell
1.0
-2.146 -2.522 -5.105
2.158 -3.533 4.459
-10.473 1.493 4.871
Tb Ho Sc Dy
3 6 1 2
Direct
0.166 0.834 0.500 Tb
0.834 0.166 0.500 Tb
0.500 0.500 0.500 Tb
0.249 0.249 0.753 Ho
0.587 0.918 0.753 Ho
0.751 0.751 0.247 Ho
0.413 0.082 0.247 Ho
0.918 0.587 0.753 Ho
0.082 0.413 0.247 Ho
0.000 0.000 0.000 Sc
0.333 0.667 0.000 Dy
0.667 0.333 0.000 Dy


TbDy2Ho4Sc | the Alexandria database | GGA-PBE | optimized geometry; formation energy = 31 meV per atom; density of states at the Fermi level = 11.606 states/eV/cell
1.0
-2.813 -3.054 -2.695
3.365 -3.588 0.553
-1.227 -6.621 8.782
Ho Dy Sc Tb
4 2 1 1
Direct
0.000 0.245 0.255 Ho
0.500 0.745 0.255 Ho
0.500 0.255 0.745 Ho
0.000 0.755 0.745 Ho
0.000 0.000 0.000 Dy
0.500 0.000 0.500 Dy
0.000 0.500 0.500 Sc
0.500 0.500 0.000 Tb


Tb3DyHoSc | the Alexandria database | GGA-PBE | optimized geometry; formation energy = 35 meV per atom; density of states at the Fermi level = 16.526 states/eV/cell
1.0
4.967 0.000 0.000
0.000 7.741 -1.154
0.000 -3.239 9.972
Tb Sc Ho Dy
6 2 2 2
Direct
0.750 0.367 0.541 Tb
0.250 0.633 0.459 Tb
0.250 0.620 0.790 Tb
0.250 0.124 0.955 Tb
0.750 0.876 0.045 Tb
0.750 0.380 0.210 Tb
0.250 0.120 0.621 Sc
0.750 0.880 0.379 Sc
0.750 0.877 0.704 Ho
0.250 0.123 0.296 Ho
0.250 0.629 0.128 Dy
0.750 0.371 0.872 Dy


Tb6Dy2Ho3Sc | the Alexandria database | GGA-PBE | optimized geometry; formation energy = 25 meV per atom; density of states at the Fermi level = 15.938 states/eV/cell
1.0
6.104 0.001 0.004
-3.050 5.288 0.004
-1.022 -1.769 11.483
Tb Dy Ho Sc
6 2 3 1
Direct
0.587 0.918 0.752 Tb
0.918 0.587 0.752 Tb
0.248 0.248 0.752 Tb
0.082 0.413 0.248 Tb
0.752 0.752 0.248 Tb
0.413 0.082 0.248 Tb
0.666 0.334 0.000 Dy
0.334 0.666 0.000 Dy
0.166 0.834 0.500 Ho
0.834 0.166 0.500 Ho
0.500 0.500 0.500 Ho
0.000 0.000 0.000 Sc